1.
Entry from Alexandria via LeMat-Bulk: crystalline Ba3AcNd2Se6 at its relaxed geometry (GGA-PBE).

The structure in CIF format:
```
data_Ba3AcNd2Se6
_chemical_formula_sum 'Ba3 Ac1 Nd2 Se6'
_symmetry_space_group_name_H-M 'P 1'
_symmetry_Int_Tables_number 1
_symmetry_space_group_name_Hall 'P 1'
_cell_length_a 7.709
_cell_length_b 7.709
_cell_length_c 7.907
_cell_angle_alpha 99.38
_cell_angle_beta 99.38
_cell_angle_gamma 119.95
loop_
_atom_site_label
_atom_site_type_symbol
_atom_site_fract_x
_atom_site_fract_y
_atom_site_fract_z
_atom_site_occupancy
Se1 Se 0.924 0.583 0.773 1
Nd1 Nd 0.667 0.333 0.000 1
Ba1 Ba 0.835 0.165 0.500 1
Se2 Se 0.583 0.924 0.773 1
Ba2 Ba 0.165 0.835 0.500 1
Se3 Se 0.076 0.417 0.227 1
Se4 Se 0.733 0.733 0.225 1
Ac1 Ac 0.000 0.000 0.000 1
Se5 Se 0.267 0.267 0.775 1
Se6 Se 0.417 0.076 0.227 1
Ba3 Ba 0.500 0.500 0.500 1
Nd2 Nd 0.333 0.667 0.000 1
```

Calculated values
Uncorrected formation energy ... -1.93 eV/atom
Calculated density ... 6044 kg/m³

=====

2.
Entry from Alexandria via LeMat-Bulk: crystalline Ba3Ac3NdTe8 at its relaxed geometry (GGA-PBE).

The structure in CIF format:
```
data_Ba3Ac3NdTe8
_chemical_formula_sum 'Ba3 Ac3 Nd1 Te8'
_symmetry_space_group_name_H-M 'P 1'
_symmetry_Int_Tables_number 1
_symmetry_space_group_name_Hall 'P 1'
_cell_length_a 9.538
_cell_length_b 9.538
_cell_length_c 9.781
_cell_angle_alpha 119.18
_cell_angle_beta 90.00
_cell_angle_gamma 120.00
loop_
_atom_site_label
_atom_site_type_symbol
_atom_site_fract_x
_atom_site_fract_y
_atom_site_fract_z
_atom_site_occupancy
Ba1 Ba 0.000 0.000 0.000 1
Ac1 Ac 0.500 0.500 0.500 1
Te1 Te 0.238 0.476 0.727 1
Te2 Te 0.238 0.990 0.727 1
Te3 Te 0.746 0.492 0.737 1
Te4 Te 0.762 0.010 0.273 1
Nd1 Nd 0.000 0.000 0.500 1
Ba2 Ba 0.500 0.500 0.000 1
Ba3 Ba 0.000 0.500 0.000 1
Ac2 Ac 0.500 0.000 0.500 1
Te5 Te 0.248 0.010 0.273 1
Ac3 Ac 0.000 0.500 0.500 1
Te6 Te 0.762 0.524 0.273 1
Te7 Te 0.752 0.990 0.727 1
Te8 Te 0.254 0.508 0.263 1
```

Calculated values
Uncorrected formation energy ... -1.62 eV/atom
Calculated density ... 5887 kg/m³

=====

3.
Entry from Alexandria via LeMat-Bulk: crystalline Ba3Ac2NdTe6 at its relaxed geometry (GGA-PBE).

The structure in CIF format:
```
data_Ba3Ac2NdTe6
_chemical_formula_sum 'Ba3 Ac2 Nd1 Te6'
_symmetry_space_group_name_H-M 'P 1'
_symmetry_Int_Tables_number 1
_symmetry_space_group_name_Hall 'P 1'
_cell_length_a 4.777
_cell_length_b 9.692
_cell_length_c 10.818
_cell_angle_alpha 104.32
_cell_angle_beta 102.76
_cell_angle_gamma 90.00
loop_
_atom_site_label
_atom_site_type_symbol
_atom_site_fract_x
_atom_site_fract_y
_atom_site_fract_z
_atom_site_occupancy
Te1 Te 0.999 0.768 0.998 1
Te2 Te 0.660 0.086 0.319 1
Ac1 Ac 0.836 0.672 0.672 1
Te3 Te 0.329 0.425 0.659 1
Ac2 Ac 0.164 0.328 0.328 1
Te4 Te 0.671 0.575 0.341 1
Te5 Te 0.001 0.232 0.002 1
Ba1 Ba 0.168 0.834 0.336 1
Ba2 Ba 0.832 0.166 0.664 1
Ba3 Ba 0.500 0.500 0.000 1
Nd1 Nd 0.500 0.000 0.000 1
Te6 Te 0.340 0.914 0.681 1
```

Calculated values
Uncorrected formation energy ... -1.61 eV/atom
Calculated density ... 6241 kg/m³

=====

4.
Entry from Alexandria via LeMat-Bulk: crystalline Ba3AcNd2Te6 at its relaxed geometry (GGA-PBE).

The structure in CIF format:
```
data_Ba3AcNd2Te6
_chemical_formula_sum 'Ba3 Ac1 Nd2 Te6'
_symmetry_space_group_name_H-M 'P 1'
_symmetry_Int_Tables_number 1
_symmetry_space_group_name_Hall 'P 1'
_cell_length_a 8.176
_cell_length_b 8.176
_cell_length_c 8.396
_cell_angle_alpha 99.37
_cell_angle_beta 99.37
_cell_angle_gamma 119.93
loop_
_atom_site_label
_atom_site_type_symbol
_atom_site_fract_x
_atom_site_fract_y
_atom_site_fract_z
_atom_site_occupancy
Ba1 Ba 0.836 0.164 0.500 1
Ac1 Ac 0.000 0.000 0.000 1
Te1 Te 0.924 0.582 0.771 1
Nd1 Nd 0.333 0.667 0.000 1
Te2 Te 0.734 0.734 0.227 1
Te3 Te 0.418 0.076 0.229 1
Ba2 Ba 0.164 0.836 0.500 1
Te4 Te 0.266 0.266 0.773 1
Te5 Te 0.076 0.418 0.229 1
Nd2 Nd 0.667 0.333 0.000 1
Ba3 Ba 0.500 0.500 0.500 1
Te6 Te 0.582 0.924 0.771 1
```

Calculated values
Uncorrected formation energy ... -1.60 eV/atom
Calculated density ... 6112 kg/m³

=====

What did the first record say?
Entry from Alexandria via LeMat-Bulk: crystalline Ba3AcNd2Se6 at its relaxed geometry (GGA-PBE).

The structure in CIF format:
```
data_Ba3AcNd2Se6
_chemical_formula_sum 'Ba3 Ac1 Nd2 Se6'
_symmetry_space_group_name_H-M 'P 1'
_symmetry_Int_Tables_number 1
_symmetry_space_group_name_Hall 'P 1'
_cell_length_a 7.709
_cell_length_b 7.709
_cell_length_c 7.907
_cell_angle_alpha 99.38
_cell_angle_beta 99.38
_cell_angle_gamma 119.95
loop_
_atom_site_label
_atom_site_type_symbol
_atom_site_fract_x
_atom_site_fract_y
_atom_site_fract_z
_atom_site_occupancy
Se1 Se 0.924 0.583 0.773 1
Nd1 Nd 0.667 0.333 0.000 1
Ba1 Ba 0.835 0.165 0.500 1
Se2 Se 0.583 0.924 0.773 1
Ba2 Ba 0.165 0.835 0.500 1
Se3 Se 0.076 0.417 0.227 1
Se4 Se 0.733 0.733 0.225 1
Ac1 Ac 0.000 0.000 0.000 1
Se5 Se 0.267 0.267 0.775 1
Se6 Se 0.417 0.076 0.227 1
Ba3 Ba 0.500 0.500 0.500 1
Nd2 Nd 0.333 0.667 0.000 1
```

Calculated values
Uncorrected formation energy ... -1.93 eV/atom
Calculated density ... 6044 kg/m³

=====

Q: Which of these has the lowest uncorrected formation energy?
A: Ba3AcNd2Se6

=====

Q: uncorrected formation energy of number 3 (Ba3Ac2NdTe6)?
A: -1.61 eV/atom